Density functional theory data (PBE-GGA) for an optimized crystal structure of PmPuTh2As4.

It has space group Imma (No. 74), with a = 8.446 Å, b = 8.474 Å, c = 11.964 Å, α = 90.00°, β = 90.00° and γ = 90.00°. The inequivalent atoms are Pm at (0.250, 0.250, 0.250), Pu at (0.000, 0.000, 0.000), Th at (0.000, 0.000, 0.500), Th at (0.250, 0.250, 0.750), As at (0.000, 0.000, 0.249) and As at (0.246, 0.250, 0.000).

The calculation puts the energy of formation at -1.363 eV/atom. Its volume is 856.3 Å³/cell.

---

Density functional theory data (PBE-GGA) for an optimized crystal structure of Dy3Y.

It has space group Fm-3m (No. 225), with a = 8.016 Å, b = 8.016 Å, c = 8.016 Å, α = 90.00°, β = 90.00° and γ = 90.00°. The inequivalent atoms are Dy at (0.000, 0.000, 0.000), Dy at (0.250, 0.250, 0.250) and Y at (0.000, 0.000, 0.500).

The value obtained for the distance to the lowest polymorph of the same formula is 0.1372 eV/atom. The calculation puts the energy of formation at 0.143 eV/atom. Its volume is 515.1 Å³/cell.

---

Density functional theory data (PBE-GGA) for an optimized crystal structure of La3GePbBr.

It has space group P2_1/m (No. 11), with a = 7.824 Å, b = 4.379 Å, c = 11.948 Å, α = 90.00°, β = 101.97° and γ = 90.00°. The inequivalent atoms are La at (0.041, 0.250, 0.151), La at (0.224, 0.750, 0.502), La at (0.450, 0.750, 0.857), Ge at (0.269, 0.750, 0.068), Pb at (0.148, 0.250, 0.690) and Br at (0.379, 0.250, 0.366).

Its uncorrected formation energy is -925 meV per atom. Its volume is 400.4 Å³/cell.

---

Density functional theory data (PBE-GGA) for an optimized crystal structure of Pm2Sm3YBi6.

It has space group C2/m (No. 12), with a = 19.842 Å, b = 4.555 Å, c = 9.106 Å, α = 90.00°, β = 103.23° and γ = 90.00°. The inequivalent atoms are Pm at (0.166, 0.000, 0.333), Sm at (0.000, 0.500, 0.500), Sm at (0.167, 0.000, 0.833), Y at (0.000, 0.500, 0.000), Bi at (0.001, 0.000, 0.754), Bi at (0.165, 0.500, 0.081) and Bi at (0.166, 0.500, 0.584).

The calculation puts the energy of formation at -0.925 eV/atom. Its volume is 801.1 Å³/cell.

---

Density functional theory data (PBE-GGA) for an optimized crystal structure of ZrBiSbTe2.

It has space group P4/mmm (No. 123), with a = 5.832 Å, b = 5.832 Å, c = 5.625 Å, α = 90.00°, β = 90.00° and γ = 90.00°. The inequivalent atoms are Zr at (0.000, 0.000, 0.000), Bi at (0.000, 0.000, 0.500), Sb at (0.500, 0.500, 0.000) and Te at (0.000, 0.500, 0.500).

The value obtained for the distance to the lowest polymorph of the same formula is 0.7947 eV/atom. Its uncorrected formation energy is 914 meV per atom. Its volume is 191.3 Å³/cell.

---

Density functional theory data (PBE-GGA) for an optimized crystal structure of NdScGa.

It has space group I4mm (No. 107), with a = 3.417 Å, b = 3.417 Å, c = 12.784 Å, α = 90.00°, β = 90.00° and γ = 90.00°. The inequivalent atoms are Nd at (0.000, 0.000, 0.000), Sc at (0.000, 0.000, 0.293) and Ga at (0.000, 0.000, 0.666).

The value obtained for the distance to the lowest polymorph of the same formula is 0.1019 eV/atom. The calculation puts the energy of formation at -0.337 eV/atom. Its volume is 149.3 Å³/cell.

---

Density functional theory data (PBE-GGA) for an optimized crystal structure of HgCOF2.

It has space group P4/mmm (No. 123), with a = 4.409 Å, b = 4.409 Å, c = 4.237 Å, α = 90.00°, β = 90.00° and γ = 90.00°. The inequivalent atoms are Hg at (0.000, 0.000, 0.000), C at (0.500, 0.500, 0.500), O at (0.000, 0.000, 0.500) and F at (0.000, 0.500, 0.000).

The value obtained for the distance to the lowest polymorph of the same formula is 0.9398 eV/atom. Its uncorrected formation energy is 1046 meV per atom. Its volume is 82.3 Å³/cell.

---

Density functional theory data (PBE-GGA) for an optimized crystal structure of La2Pr3Y6Mg.

It has space group C2/m (No. 12), with a = 6.258 Å, b = 10.838 Å, c = 11.951 Å, α = 90.00°, β = 100.05° and γ = 90.00°. The inequivalent atoms are La at (0.000, 0.166, 0.000), Pr at (0.000, 0.000, 0.500), Pr at (0.000, 0.334, 0.500), Y at (0.247, 0.335, 0.248), Y at (0.248, 0.500, 0.751) and Mg at (0.000, 0.500, 0.000).

The calculation puts the energy of formation at 0.015 eV/atom. Its volume is 798.2 Å³/cell.

---

Density functional theory data (PBE-GGA) for an optimized crystal structure of SmHoPt.

It has space group C2/m (No. 12), with a = 6.678 Å, b = 6.695 Å, c = 7.186 Å, α = 90.00°, β = 94.20° and γ = 90.00°. The inequivalent atoms are Sm at (0.240, 0.000, 0.381), Ho at (0.000, 0.256, 0.000) and Pt at (0.216, 0.000, 0.771).

The value obtained for the distance to the lowest polymorph of the same formula is 0.0586 eV/atom. The calculation puts the energy of formation at -0.841 eV/atom. Its volume is 320.4 Å³/cell.

---

Density functional theory data (PBE-GGA) for an optimized crystal structure of Ni3Bi2S2.

It has space group Pmm2 (No. 25), with a = 4.105 Å, b = 5.384 Å, c = 6.010 Å, α = 90.00°, β = 90.00° and γ = 90.00°. The inequivalent atoms are Ni at (0.000, 0.000, 0.000), Ni at (0.500, 0.252, 0.828), Bi at (0.000, 0.000, 0.573), Bi at (0.000, 0.500, 0.076), S at (0.500, 0.000, 0.120) and S at (0.500, 0.500, 0.540).

The value obtained for the distance to the lowest polymorph of the same formula is 0.0836 eV/atom. Its uncorrected formation energy is -217 meV per atom. Its volume is 132.9 Å³/cell.

---

Among the records above, which one has the highest volume? PmPuTh2As4

---

volume of number 6 (NdScGa)? 149.3 Å³/cell

---

Which of these has the lowest volume? HgCOF2